Record 1
TiBeBr2: relaxed, PBE.

Structure (POSCAR):
```
TiBeBr2
1.0
1.6465 0.9506 8.6668
-1.6465 0.9506 8.6668
0.0000 -1.9012 8.6668
Ti Be Br
1 1 2
direct
0.0000 0.0000 0.0000
0.5000 0.5000 0.5000
0.4024 0.4024 0.4024
0.5976 0.5976 0.5976
```

space group: R-3m
distance to the lowest polymorph of the same formula: 0.000 eV/atom
formation energy without anion corrections: -0.02 eV per atom
calculated total energy: -3.77 eV per atom
size of the total moment: 0.00 μB per cell

Record 2
Er5Sc5Tl: relaxed, PBE.

Structure (POSCAR):
```
Er5Sc5Tl
1.0
5.8031 0.0000 0.0000
-2.9016 5.0256 0.0000
0.0000 0.0000 10.7893
Er Sc Tl
5 5 1
direct
0.0000 0.0000 0.0000
0.3333 0.6667 0.3076
0.3333 0.6667 0.6924
0.6667 0.3333 0.1822
0.6667 0.3333 0.8178
0.0000 0.0000 0.2731
0.0000 0.0000 0.7269
0.3342 0.1671 0.5000
0.8329 0.1671 0.5000
0.8329 0.6658 0.5000
0.3333 0.6667 0.0000
```

space group: P-6m2
calculated total energy: -4.94 eV per atom
size of the total moment: 4.89 μB per cell
formation energy: 231 meV/atom

Record 3
TbU3Tl3Te8: relaxed, PBE.

Structure (POSCAR):
```
TbU3Tl3Te8
1.0
4.3999 2.5403 8.3108
-4.3999 2.5403 8.3108
0.0000 -5.0806 8.3108
Tb U Tl Te
1 3 3 8
direct
0.0000 0.0000 0.0000
0.0000 0.5000 0.5000
0.5000 0.0000 0.5000
0.5000 0.5000 0.0000
0.0000 0.0000 0.5000
0.0000 0.5000 0.0000
0.5000 0.0000 0.0000
0.2394 0.2394 0.7358
0.2394 0.7358 0.2394
0.2612 0.2612 0.2612
0.2642 0.7606 0.7606
0.7358 0.2394 0.2394
0.7388 0.7388 0.7388
0.7606 0.2642 0.7606
0.7606 0.7606 0.2642
```

space group: R-3m
formation energy without anion corrections: -0.69 eV per atom
calculated total energy: -5.40 eV per atom
size of the total moment: 8.00 μB per cell

Record 4
BaNi3Rh: relaxed, PBE.

Structure (POSCAR):
```
BaNi3Rh
1.0
4.7179 0.0000 0.0000
0.0000 4.7179 0.0000
0.0000 0.0000 4.7179
Ba Ni Rh
1 3 1
direct
0.0000 0.0000 0.0000
0.0000 0.5000 0.5000
0.5000 0.0000 0.5000
0.5000 0.5000 0.0000
0.5000 0.5000 0.5000
```

space group: Pm-3m
distance to the lowest polymorph of the same formula: 0.000 eV/atom
calculated total energy: -4.84 eV per atom
size of the total moment: 3.01 μB per cell
formation energy: 484 meV/atom

Record 5
K2RbTlHg: relaxed, PBE.

Structure (POSCAR):
```
K2RbTlHg
1.0
6.7482 0.0000 0.0000
0.0000 6.7482 0.0000
0.0000 0.0000 5.8867
K Rb Tl Hg
2 1 1 1
direct
0.0000 0.5000 0.0000
0.5000 0.0000 0.0000
0.0000 0.0000 0.5000
0.5000 0.5000 0.5000
0.5000 0.5000 0.0000
```

space group: P4/mmm
distance to the lowest polymorph of the same formula: 0.000 eV/atom
calculated total energy: -1.22 eV per atom
size of the total moment: 0.00 μB per cell
formation energy: -54 meV/atom

Record 6
MnZnSi2: relaxed, PBE.

Structure (POSCAR):
```
MnZnSi2
1.0
4.4848 -1.3595 0.0000
4.4848 1.3595 0.0000
-0.3281 0.0000 4.2730
Mn Zn Si
1 1 2
direct
0.0000 0.0000 0.0000
0.7442 0.7442 0.2759
0.2662 0.2662 0.7944
0.5015 0.5015 0.5065
```

space group: Cm
formation energy without anion corrections: 0.09 eV per atom
calculated total energy: -5.23 eV per atom
size of the total moment: 1.48 μB per cell

Record 7
ThGa2Cu3: relaxed, PBE.

Structure (POSCAR):
```
ThGa2Cu3
1.0
4.1835 0.0000 0.0000
-2.0917 3.6230 0.0000
0.0000 0.0000 13.6098
Th Ga Cu
2 4 6
direct
0.0000 0.0000 0.2500
0.0000 0.0000 0.7500
0.3333 0.6667 0.1008
0.3333 0.6667 0.3992
0.6667 0.3333 0.6008
0.6667 0.3333 0.8992
0.0000 0.0000 0.0000
0.0000 0.0000 0.5000
0.3333 0.6667 0.5887
0.3333 0.6667 0.9113
0.6667 0.3333 0.0887
0.6667 0.3333 0.4113
```

space group: P6_3/mmc
calculated total energy: -4.59 eV per atom
size of the total moment: 0.00 μB per cell
formation energy: -299 meV/atom

Record 8
TaCuRh3: relaxed, PBE.

Structure (POSCAR):
```
TaCuRh3
1.0
4.3959 0.0000 0.0000
0.0000 4.3959 0.0000
0.0000 0.0000 4.3959
Ta Cu Rh
1 1 3
direct
0.0000 0.0000 0.0000
0.5000 0.5000 0.5000
0.0000 0.5000 0.5000
0.5000 0.0000 0.5000
0.5000 0.5000 0.0000
```

space group: Pm-3m
distance to the lowest polymorph of the same formula: 0.791 eV/atom
calculated total energy: -6.69 eV per atom
size of the total moment: 0.00 μB per cell
formation energy: 912 meV/atom